--- w ---
# P2Pb2W (PBE, optimized geometry)
# **Density of states at the Fermi level**: 6.19 states/eV/cell
data_P2Pb2W
_cell_length_a 7.5955
_cell_length_b 7.5955
_cell_length_c 3.8035
_cell_angle_alpha 90.00
_cell_angle_beta 90.00
_cell_angle_gamma 90.00
_symmetry_space_group_name_H-M 'P 4/m b m'
_symmetry_Int_Tables_number 127
_symmetry_space_group_name_Hall '-P 4 2ab'
loop_
_atom_site_label
_atom_site_type_symbol
_atom_site_fract_x
_atom_site_fract_y
_atom_site_fract_z
P1 P 0.1832 0.3168 0.0000
Pb1 Pb 0.1411 0.6411 0.5000
W1 W 0.0000 0.0000 0.5000

=====

--- x ---
# P2Pb2W (PBE, optimized geometry)
# **Density of states at the Fermi level**: 7.21 states/eV/cell
data_P2Pb2W
_cell_length_a 3.3853
_cell_length_b 3.3853
_cell_length_c 18.5341
_cell_angle_alpha 90.00
_cell_angle_beta 90.00
_cell_angle_gamma 90.00
_symmetry_space_group_name_H-M 'I 4/m m m'
_symmetry_Int_Tables_number 139
_symmetry_space_group_name_Hall '-I 4 2'
loop_
_atom_site_label
_atom_site_type_symbol
_atom_site_fract_x
_atom_site_fract_y
_atom_site_fract_z
P1 P 0.0000 0.5000 0.2500
Pb1 Pb 0.0000 0.0000 0.0954
W1 W 0.0000 0.0000 0.5000

=====

Which is more stable than every other structure shown? x is more stable than every other one.